First-principles (GGA-PBE) data for crystalline Cs2Sb4Pb5 at its relaxed geometry, as listed in Alexandria via LeMat-Bulk.

Calculated values
- V (Å³/atom) = 41.1
- ΔE_f (raw) (eV/atom) = -0.10
- total magnetic moment (μB per formula unit) = 0.00

Cell: 7.0701 8.5577 8.9411 Å, 80.60 66.71 65.60°
Element x y z (fractional)
Cs 0.8448 0.0000 0.3103
Sb 0.7746 0.7226 0.7283
Pb 0.5000 0.5000 0.0000
Pb 0.7500 0.5000 0.5000
Sb 0.5029 0.7226 0.2717
Sb 0.2254 0.2774 0.2717
Pb 0.2500 0.5000 0.5000
Pb 0.0000 0.5000 0.0000
Cs 0.1552 0.0000 0.6897
Pb 0.5000 0.0000 0.0000
Sb 0.4971 0.2774 0.7283